one | VASP calculation (PBE) on crystalline PaTiPd2 at its relaxed geometry.

- calculated volume (Å³ per cell) = 74.66
- calculated density (g/cm³) = 10.94

Unit cell a=4.313 b=4.313 c=4.013 alpha=90.00 beta=90.00 gamma=90.00
Fractional positions:
Pa  0.000  0.000  0.000
Ti  0.500  0.500  0.000
Pd  0.000  0.500  0.500
Pd  0.500  0.000  0.500



two | VASP calculation (PBE) on crystalline PaTiPd2 at its relaxed geometry.

- calculated volume (Å³ per cell) = 73.58
- calculated density (g/cm³) = 11.10

Unit cell a=3.215 b=3.215 c=7.119 alpha=90.00 beta=90.00 gamma=90.00
Fractional positions:
Pa  0.000  0.000  0.000
Ti  0.000  0.000  0.500
Pd  0.500  0.500  0.293
Pd  0.500  0.500  0.707



three | VASP calculation (PBE) on crystalline PaTiPd2 at its relaxed geometry.

- calculated volume (Å³ per cell) = 73.38
- calculated density (g/cm³) = 11.13

Unit cell a=9.455 b=9.455 c=9.455 alpha=18.38 beta=18.38 gamma=18.38
Fractional positions:
Pa  0.000  0.000  0.000
Ti  0.500  0.500  0.500
Pd  0.239  0.239  0.239
Pd  0.761  0.761  0.761



four | VASP calculation (PBE) on crystalline PaTiPd2 at its relaxed geometry.

- calculated volume (Å³ per cell) = 77.51
- calculated density (g/cm³) = 10.54

Unit cell a=4.786 b=4.786 c=4.786 alpha=60.00 beta=60.00 gamma=60.00
Fractional positions:
Pa  0.000  0.000  0.000
Ti  0.500  0.500  0.500
Pd  0.250  0.250  0.250
Pd  0.750  0.750  0.750



Referenced to the most stable arrangement, the calculated values in eV/atom are one 0.036; two 0.000; three 0.158; four 0.102.



one | VASP calculation (PBE) on crystalline TmPaPd2 at its relaxed geometry.

- calculated volume (Å³ per cell) = 93.96
- calculated density (g/cm³) = 10.83

Unit cell a=7.472 b=7.472 c=7.472 alpha=30.28 beta=30.28 gamma=30.28
Fractional positions:
Tm  0.000  0.000  0.000
Pa  0.500  0.500  0.500
Pd  0.247  0.247  0.247
Pd  0.753  0.753  0.753



two | VASP calculation (PBE) on crystalline TmPaPd2 at its relaxed geometry.

- calculated volume (Å³ per cell) = 84.05
- calculated density (g/cm³) = 12.11

Unit cell a=3.355 b=3.355 c=7.467 alpha=90.00 beta=90.00 gamma=90.00
Fractional positions:
Tm  0.000  0.000  0.000
Pa  0.000  0.000  0.500
Pd  0.500  0.500  0.236
Pd  0.500  0.500  0.764



Referenced to the most stable arrangement, the calculated values in eV/atom are one 0.092; two 0.000.



one | VASP calculation (PBE) on crystalline Tm2PaPd at its relaxed geometry.

- calculated volume (Å³ per cell) = 97.89
- calculated density (g/cm³) = 11.46

Unit cell a=10.948 b=10.948 c=10.948 alpha=17.00 beta=17.00 gamma=17.00
Fractional positions:
Tm  0.098  0.098  0.098
Tm  0.902  0.902  0.902
Pa  0.000  0.000  0.000
Pd  0.500  0.500  0.500



two | VASP calculation (PBE) on crystalline Tm2PaPd at its relaxed geometry.

- calculated volume (Å³ per cell) = 95.73
- calculated density (g/cm³) = 11.71

Unit cell a=3.424 b=3.424 c=8.164 alpha=90.00 beta=90.00 gamma=90.00
Fractional positions:
Tm  0.000  0.000  0.211
Tm  0.000  0.000  0.789
Pa  0.500  0.500  0.500
Pd  0.500  0.500  0.000



Referenced to the most stable arrangement, the calculated values in eV/atom are one 0.316; two 0.000.



one | VASP calculation (PBE) on crystalline UPaPd at its relaxed geometry.

- calculated volume (Å³ per cell) = 62.76
- calculated density (g/cm³) = 15.23

Unit cell a=5.477 b=5.477 c=5.477 alpha=141.66 beta=141.66 gamma=55.34
Fractional positions:
U  0.000  0.000  0.000
Pa  0.359  0.359  0.000
Pd  0.680  0.680  0.000



two | VASP calculation (PBE) on crystalline UPaPd at its relaxed geometry.

- calculated volume (Å³ per cell) = 123.79
- calculated density (g/cm³) = 15.44

Unit cell a=6.944 b=6.944 c=4.885 alpha=90.00 beta=90.00 gamma=148.30
Fractional positions:
U  0.240  0.760  0.750
U  0.760  0.240  0.250
Pa  0.402  0.598  0.250
Pa  0.598  0.402  0.750
Pd  0.078  0.922  0.250
Pd  0.922  0.078  0.750



Referenced to the most stable arrangement, the calculated values in eV/atom are one 0.178; two 0.000.



one | VASP calculation (PBE) on crystalline Pa2VPd at its relaxed geometry.

- calculated volume (Å³ per cell) = 82.62
- calculated density (g/cm³) = 12.45

Unit cell a=4.889 b=4.889 c=4.889 alpha=60.00 beta=60.00 gamma=60.00
Fractional positions:
Pa  0.250  0.250  0.250
Pa  0.750  0.750  0.750
V  0.000  0.000  0.000
Pd  0.500  0.500  0.500



two | VASP calculation (PBE) on crystalline Pa2VPd at its relaxed geometry.

- calculated volume (Å³ per cell) = 81.56
- calculated density (g/cm³) = 12.61

Unit cell a=4.325 b=4.325 c=4.361 alpha=90.00 beta=90.00 gamma=90.00
Fractional positions:
Pa  0.000  0.500  0.000
Pa  0.500  0.000  0.000
V  0.000  0.000  0.500
Pd  0.500  0.500  0.500



Referenced to the most stable arrangement, the calculated values in eV/atom are one 0.009; two 0.000.



one | VASP calculation (PBE) on crystalline PaVPd at its relaxed geometry.

- calculated volume (Å³ per cell) = 111.69
- calculated density (g/cm³) = 11.55

Unit cell a=6.605 b=6.605 c=6.605 alpha=40.94 beta=40.94 gamma=40.94
Fractional positions:
Pa  0.102  0.102  0.102
Pa  0.898  0.898  0.898
V  0.436  0.436  0.436
V  0.564  0.564  0.564
Pd  0.294  0.294  0.294
Pd  0.706  0.706  0.706



two | VASP calculation (PBE) on crystalline PaVPd at its relaxed geometry.

- calculated volume (Å³ per cell) = 53.18
- calculated density (g/cm³) = 12.13

Unit cell a=4.534 b=4.534 c=2.988 alpha=90.00 beta=90.00 gamma=120.00
Fractional positions:
Pa  0.000  0.000  0.000
V  0.667  0.333  0.995
Pd  0.333  0.667  0.497



Referenced to the most stable arrangement, the calculated values in eV/atom are one 0.000; two 0.145.



one | VASP calculation (PBE) on crystalline Pa2PdW at its relaxed geometry.

- calculated volume (Å³ per cell) = 86.01
- calculated density (g/cm³) = 14.52

Unit cell a=3.438 b=3.438 c=7.277 alpha=90.00 beta=90.00 gamma=90.00
Fractional positions:
Pa  0.000  0.000  0.239
Pa  0.000  0.000  0.761
Pd  0.500  0.500  0.500
W  0.500  0.500  0.000



two | VASP calculation (PBE) on crystalline Pa2PdW at its relaxed geometry.

- calculated volume (Å³ per cell) = 83.41
- calculated density (g/cm³) = 14.98

Unit cell a=10.666 b=10.666 c=10.666 alpha=16.31 beta=16.31 gamma=16.31
Fractional positions:
Pa  0.086  0.086  0.086
Pa  0.914  0.914  0.914
Pd  0.000  0.000  0.000
W  0.500  0.500  0.500



Referenced to the most stable arrangement, the calculated values in eV/atom are one 0.000; two 0.273.



one | VASP calculation (PBE) on crystalline Pa2Zn3Pd2 at its relaxed geometry.

- calculated volume (Å³ per cell) = 134.99
- calculated density (g/cm³) = 10.72

Unit cell a=5.374 b=5.374 c=6.255 alpha=101.95 beta=101.95 gamma=50.14
Fractional positions:
Pa  0.100  0.100  0.360
Pa  0.900  0.900  0.640
Zn  0.228  0.228  0.878
Zn  0.500  0.500  0.000
Zn  0.772  0.772  0.122
Pd  0.378  0.378  0.323
Pd  0.622  0.622  0.677



two | VASP calculation (PBE) on crystalline Pa2Zn3Pd2 at its relaxed geometry.

- calculated volume (Å³ per cell) = 132.17
- calculated density (g/cm³) = 10.94

Unit cell a=5.357 b=5.357 c=6.577 alpha=109.77 beta=109.77 gamma=48.97
Fractional positions:
Pa  0.144  0.144  0.266
Pa  0.856  0.856  0.734
Zn  0.394  0.394  0.076
Zn  0.500  0.500  0.500
Zn  0.606  0.606  0.924
Pd  0.150  0.150  0.716
Pd  0.850  0.850  0.284



Referenced to the most stable arrangement, the calculated values in eV/atom are one 0.073; two 0.000.



one | VASP calculation (PBE) on crystalline PaZn4Pd at its relaxed geometry.

- calculated volume (Å³ per cell) = 103.85
- calculated density (g/cm³) = 9.58

Unit cell a=5.276 b=5.276 c=5.276 alpha=60.00 beta=60.00 gamma=60.00
Fractional positions:
Pa  0.000  0.000  0.000
Zn  0.127  0.624  0.624
Zn  0.624  0.127  0.624
Zn  0.624  0.624  0.127
Zn  0.624  0.624  0.624
Pd  0.250  0.250  0.250



two | VASP calculation (PBE) on crystalline PaZn4Pd at its relaxed geometry.

- calculated volume (Å³ per cell) = 213.15
- calculated density (g/cm³) = 9.33

Unit cell a=7.935 b=3.837 c=7.001 alpha=90.00 beta=90.00 gamma=90.00
Fractional positions:
Pa  0.250  0.000  0.110
Pa  0.750  0.000  0.890
Zn  0.000  0.000  0.500
Zn  0.038  0.500  0.807
Zn  0.250  0.500  0.443
Zn  0.462  0.500  0.807
Zn  0.500  0.000  0.500
Zn  0.538  0.500  0.193
Zn  0.750  0.500  0.557
Zn  0.962  0.500  0.193
Pd  0.250  0.000  0.717
Pd  0.750  0.000  0.283



Referenced to the most stable arrangement, the calculated values in eV/atom are one 0.136; two 0.000.



one | VASP calculation (PBE) on crystalline PaZn3Pd2 at its relaxed geometry.

- calculated volume (Å³ per cell) = 106.07
- calculated density (g/cm³) = 10.02

Unit cell a=4.360 b=4.360 c=6.442 alpha=90.00 beta=90.00 gamma=120.00
Fractional positions:
Pa  0.000  0.000  0.000
Zn  0.000  0.000  0.500
Zn  0.333  0.667  0.672
Zn  0.667  0.333  0.328
Pd  0.333  0.667  0.250
Pd  0.667  0.333  0.750



two | VASP calculation (PBE) on crystalline PaZn3Pd2 at its relaxed geometry.

- calculated volume (Å³ per cell) = 209.73
- calculated density (g/cm³) = 10.14

Unit cell a=7.128 b=7.128 c=8.289 alpha=116.62 beta=116.62 gamma=34.32
Fractional positions:
Pa  0.135  0.135  0.020
Pa  0.865  0.865  0.980
Zn  0.056  0.056  0.394
Zn  0.291  0.291  0.470
Zn  0.410  0.410  0.300
Zn  0.590  0.590  0.700
Zn  0.709  0.709  0.530
Zn  0.944  0.944  0.606
Pd  0.217  0.217  0.746
Pd  0.445  0.445  0.814
Pd  0.555  0.555  0.186
Pd  0.783  0.783  0.254



Referenced to the most stable arrangement, the calculated values in eV/atom are one 0.015; two 0.000.



one | VASP calculation (PBE) on crystalline ZrPa2Pd at its relaxed geometry.

- calculated volume (Å³ per cell) = 92.76
- calculated density (g/cm³) = 11.81

Unit cell a=3.707 b=3.707 c=6.752 alpha=90.00 beta=90.00 gamma=90.00
Fractional positions:
Zr  0.000  0.000  0.000
Pa  0.500  0.500  0.278
Pa  0.500  0.500  0.722
Pd  0.000  0.000  0.500



two | VASP calculation (PBE) on crystalline ZrPa2Pd at its relaxed geometry.

- calculated volume (Å³ per cell) = 91.69
- calculated density (g/cm³) = 11.95

Unit cell a=11.143 b=11.143 c=11.143 alpha=16.00 beta=16.00 gamma=16.00
Fractional positions:
Zr  0.000  0.000  0.000
Pa  0.418  0.418  0.418
Pa  0.582  0.582  0.582
Pd  0.500  0.500  0.500



Referenced to the most stable arrangement, the calculated values in eV/atom are one 0.000; two 0.092.



one | VASP calculation (PBE) on crystalline Pm3Pa at its relaxed geometry.

- calculated volume (Å³ per cell) = 125.90
- calculated density (g/cm³) = 8.78

Unit cell a=5.012 b=5.012 c=5.012 alpha=90.00 beta=90.00 gamma=90.00
Fractional positions:
Pm  0.000  0.000  0.500
Pm  0.000  0.500  0.000
Pm  0.500  0.000  0.000
Pa  0.500  0.500  0.500



two | VASP calculation (PBE) on crystalline Pm3Pa at its relaxed geometry.

- calculated volume (Å³ per cell) = 125.79
- calculated density (g/cm³) = 8.79

Unit cell a=3.457 b=5.831 c=6.239 alpha=90.00 beta=90.00 gamma=90.00
Fractional positions:
Pm  0.000  0.000  0.000
Pm  0.000  0.500  0.309
Pm  0.500  0.500  0.788
Pa  0.500  0.000  0.488



three | VASP calculation (PBE) on crystalline Pm3Pa at its relaxed geometry.

- calculated volume (Å³ per cell) = 126.14
- calculated density (g/cm³) = 8.77

Unit cell a=6.208 b=6.208 c=6.208 alpha=132.88 beta=132.88 gamma=68.84
Fractional positions:
Pm  0.000  0.000  0.000
Pm  0.250  0.750  0.500
Pm  0.750  0.250  0.500
Pa  0.500  0.500  0.000



four | VASP calculation (PBE) on crystalline Pm3Pa at its relaxed geometry.

- calculated volume (Å³ per cell) = 125.78
- calculated density (g/cm³) = 8.79

Unit cell a=6.850 b=6.850 c=6.850 alpha=150.52 beta=62.12 gamma=126.66
Fractional positions:
Pm  0.000  0.000  0.000
Pm  0.398  0.635  0.763
Pm  0.872  0.635  0.237
Pa  0.494  0.994  0.500



Referenced to the most stable arrangement, the calculated values in eV/atom are one 0.032; two 0.008; three 0.043; four 0.000.